No. 1
The following is a PBEsol calculation of an optimized crystal structure of ScCd2FeGe, from Alexandria.

a = 5.340 Å, b = 5.340 Å, c = 4.213 Å
α = 90.00°, β = 90.00°, γ = 90.00°
Fractional coordinates of all 5 atoms:
Sc  0.000  0.000  0.000
Cd  0.000  0.500  0.000
Cd  0.500  0.000  0.000
Fe  0.000  0.000  0.500
Ge  0.500  0.500  0.500

Values from the calculation:
Crystal system: tetragonal
Energy of formation from the pure elements in eV per atom: 1.13

No. 2
The following is a PBEsol calculation of an optimized crystal structure of CaPbWBr2, from Alexandria.

a = 4.855 Å, b = 4.855 Å, c = 6.193 Å
α = 90.00°, β = 90.00°, γ = 90.00°
Fractional coordinates of all 5 atoms:
Ca  0.000  0.000  0.000
Pb  0.500  0.500  0.000
W  0.000  0.000  0.500
Br  0.000  0.500  0.500
Br  0.500  0.000  0.500

Values from the calculation:
Crystal system: tetragonal
Formation energy from raw total energies in meV/atom: 524

No. 3
The following is a PBEsol calculation of an optimized crystal structure of Mn5Si2, from Alexandria.

a = 8.573 Å, b = 8.573 Å, c = 8.376 Å
α = 90.00°, β = 90.00°, γ = 90.00°
Fractional coordinates of all 56 atoms:
Mn  0.005  0.400  0.431
Mn  0.042  0.867  0.966
Mn  0.045  0.955  0.250
Mn  0.077  0.683  0.422
Mn  0.100  0.505  0.681
Mn  0.132  0.132  0.000
Mn  0.133  0.958  0.534
Mn  0.176  0.222  0.650
Mn  0.183  0.423  0.172
Mn  0.222  0.176  0.350
Mn  0.278  0.676  0.900
Mn  0.317  0.923  0.078
Mn  0.324  0.722  0.600
Mn  0.367  0.458  0.716
Mn  0.368  0.632  0.250
Mn  0.400  0.005  0.569
Mn  0.423  0.183  0.828
Mn  0.455  0.455  0.000
Mn  0.458  0.367  0.284
Mn  0.495  0.900  0.819
Mn  0.505  0.100  0.319
Mn  0.542  0.633  0.784
Mn  0.545  0.545  0.500
Mn  0.577  0.817  0.328
Mn  0.600  0.995  0.069
Mn  0.632  0.368  0.750
Mn  0.633  0.542  0.216
Mn  0.676  0.278  0.100
Mn  0.683  0.077  0.578
Mn  0.722  0.324  0.400
Mn  0.778  0.824  0.850
Mn  0.817  0.577  0.672
Mn  0.824  0.778  0.150
Mn  0.867  0.042  0.034
Mn  0.868  0.868  0.500
Mn  0.900  0.495  0.181
Mn  0.923  0.317  0.922
Mn  0.955  0.045  0.750
Mn  0.958  0.133  0.466
Mn  0.995  0.600  0.931
Si  0.035  0.764  0.703
Si  0.122  0.698  0.154
Si  0.198  0.378  0.904
Si  0.236  0.965  0.797
Si  0.264  0.465  0.453
Si  0.302  0.878  0.346
Si  0.378  0.198  0.096
Si  0.465  0.264  0.547
Si  0.535  0.736  0.047
Si  0.622  0.802  0.596
Si  0.698  0.122  0.846
Si  0.736  0.535  0.953
Si  0.764  0.035  0.297
Si  0.802  0.622  0.404
Si  0.878  0.302  0.654
Si  0.965  0.236  0.203

Values from the calculation:
Crystal system: tetragonal
Formation energy from raw total energies in meV/atom: -285

No. 4
The following is a PBEsol calculation of an optimized crystal structure of FeHgRu2, from Alexandria.

a = 8.942 Å, b = 8.942 Å, c = 8.942 Å
α = 17.64°, β = 17.64°, γ = 17.64°
Fractional coordinates of all 4 atoms:
Fe  0.000  0.000  0.000
Hg  0.500  0.500  0.500
Ru  0.260  0.260  0.260
Ru  0.740  0.740  0.740

Values from the calculation:
Crystal system: trigonal
Energy of formation from the pure elements in eV per atom: 0.41

| no. | VASP energy (eV/atom) | theoretical density (Mg/m³) |
| --- | --- | --- |
| 1 | -3.45 | 5.50 |
| 2 | -4.21 | 6.72 |
| 3 | -8.90 | 7.14 |
| 4 | -7.06 | 13.28 |